Below is ErMgSnPt after structural relaxation, with properties calculated at the PBE-GGA level.

Properties
Space group: F-43m
Mass density in kg/m3: 9964

Structure (POSCAR):
```
ErMgSnPt
1.0
4.920 0.000 0.000
2.460 4.261 0.000
2.460 1.420 4.017
Mg Sn Pt Er
1 1 1 1
Direct
0.500 0.500 0.500
0.250 0.250 0.250
0.750 0.750 0.750
0.000 0.000 0.000
```

Below is Sm4YHo4 after structural relaxation, with properties calculated at the PBE-GGA level.

Properties
Energy relative to the lowest polymorph listed for this composition in meV per atom: 86
Space group: C2/m
Mass density in kg/m3: 7613

Structure (POSCAR):
```
Sm4YHo4
1.0
-1.279 5.308 -1.251
-6.803 -0.039 -5.754
-8.864 0.964 0.614
Y Sm Ho
1 4 4
Direct
0.500 0.000 0.000
0.720 0.847 0.714
0.133 0.694 0.039
0.280 0.153 0.286
0.867 0.306 0.961
0.627 0.425 0.321
0.373 0.575 0.679
0.073 0.234 0.621
0.927 0.766 0.379
```

Below is TaAgTe2 after structural relaxation, with properties calculated at the PBE-GGA level.

Properties
E_form (uncorrected) in eV/atom: 0.56
Space group: R-3m
Mass density in kg/m3: 9125

Structure (POSCAR):
```
TaAgTe2
1.0
-7.754 -7.152 6.023
-5.305 -7.611 7.841
-7.156 -5.193 8.329
Ta Ag Te
1 1 2
Direct
0.000 0.000 0.000
0.500 0.500 0.500
0.920 0.920 0.920
0.080 0.080 0.080
```

Below is ZrTi3Sb after structural relaxation, with properties calculated at the PBE-GGA level.

Properties
E_form (uncorrected) in eV/atom: -0.21
Energy relative to the lowest polymorph listed for this composition in meV per atom: 0
Space group: Pnma
Mass density in kg/m3: 5975

Structure (POSCAR):
```
ZrTi3Sb
1.0
3.465 0.000 0.000
0.000 9.196 0.000
0.000 0.000 12.439
Ti Sb Zr
12 4 4
Direct
0.750 0.670 0.699
0.250 0.577 0.090
0.250 0.330 0.301
0.750 0.072 0.220
0.250 0.077 0.410
0.750 0.423 0.910
0.250 0.928 0.780
0.750 0.170 0.801
0.250 0.428 0.720
0.750 0.572 0.280
0.250 0.830 0.199
0.750 0.923 0.590
0.250 0.654 0.874
0.750 0.846 0.374
0.750 0.346 0.126
0.250 0.154 0.626
0.750 0.851 0.003
0.750 0.351 0.497
0.250 0.149 0.997
0.250 0.649 0.503
```

Below is Sr3MgI after structural relaxation, with properties calculated at the PBE-GGA level.

Properties
E_form (uncorrected) in eV/atom: -0.10
Energy relative to the lowest polymorph listed for this composition in meV per atom: 0
Space group: Pm-3m
Mass density in kg/m3: 2498

Structure (POSCAR):
```
Sr3MgI
1.0
6.505 0.000 0.000
0.000 6.505 0.000
0.000 0.000 6.505
Mg Sr I
1 3 1
Direct
0.000 0.000 0.000
0.500 0.000 0.000
0.000 0.000 0.500
0.000 0.500 0.000
0.500 0.500 0.500
```

Below is Y6Ho5Sc after structural relaxation, with properties calculated at the PBE-GGA level.

Properties
Space group: C2/m
Mass density in kg/m3: 6259

Structure (POSCAR):
```
Y6Ho5Sc
1.0
-6.657 -0.564 9.598
-5.321 -1.678 -2.496
-1.345 -5.924 -0.634
Y Ho Sc
6 5 1
Direct
0.752 0.752 0.000
0.248 0.586 0.331
0.752 0.083 0.331
0.248 0.917 0.669
0.752 0.414 0.669
0.248 0.248 0.000
0.000 0.667 0.667
0.500 0.166 0.667
0.500 0.500 0.000
0.500 0.834 0.333
0.000 0.333 0.333
0.000 0.000 0.000
```

Below is MgMnSe2 after structural relaxation, with properties calculated at the PBE-GGA level.

Properties
E_form (uncorrected) in eV/atom: -0.47
Space group: C2/m
Mass density in kg/m3: 3813

Structure (POSCAR):
```
MgMnSe2
1.0
-2.192 4.823 1.778
-5.337 -0.873 -1.410
-2.921 -0.133 3.120
Se Mn Mg
2 1 1
Direct
0.500 0.500 0.000
0.000 0.000 0.000
0.000 0.500 0.500
0.500 0.000 0.500
```

Below is CaCoRe2 after structural relaxation, with properties calculated at the PBE-GGA level.

Properties
Energy relative to the lowest polymorph listed for this composition in meV per atom: 307
Space group: C2/m
Mass density in kg/m3: 12243

Structure (POSCAR):
```
CaCoRe2
1.0
-0.082 0.633 -5.445
-2.879 -3.855 1.790
-2.414 1.047 -0.258
Re Co Ca
2 1 1
Direct
0.000 0.500 0.500
0.000 0.000 0.000
0.500 0.000 0.500
0.500 0.500 0.000
```

Below is SbOsRh after structural relaxation, with properties calculated at the PBE-GGA level.

Properties
E_form (uncorrected) in eV/atom: 0.45
Energy relative to the lowest polymorph listed for this composition in meV per atom: 188
Space group: Imm2
Mass density in kg/m3: 13853

Structure (POSCAR):
```
SbOsRh
1.0
-2.991 2.280 3.006
-4.654 -1.217 -0.216
4.437 -1.716 0.741
Sb Os Rh
1 1 1
Direct
0.335 0.335 0.000
0.008 0.008 0.000
0.657 0.657 0.000
```

Below is Tl3HgRh after structural relaxation, with properties calculated at the PBE-GGA level.

Properties
Energy relative to the lowest polymorph listed for this composition in meV per atom: 296
Space group: Amm2
Mass density in kg/m3: 10372

Structure (POSCAR):
```
Tl3HgRh
1.0
-1.059 -0.237 -3.094
0.294 -7.344 0.462
-5.913 4.041 1.715
Rh Hg Tl
1 1 3
Direct
0.500 0.032 0.968
0.000 0.631 0.369
0.500 0.142 0.375
0.500 0.625 0.858
0.000 0.198 0.802
```

Below is Y5Er2Tm4 after structural relaxation, with properties calculated at the PBE-GGA level.

Properties
Energy relative to the lowest polymorph listed for this composition in meV per atom: 0
Space group: C2/m
Mass density in kg/m3: 7074

Structure (POSCAR):
```
Y5Er2Tm4
1.0
4.903 0.000 -0.882
-0.979 5.630 -5.439
0.898 -6.857 19.050
Y Tm Er
5 4 2
Direct
0.227 0.546 0.454
0.864 0.277 0.728
0.500 0.000 0.000
0.136 0.723 0.272
0.773 0.454 0.546
0.681 0.634 0.363
0.319 0.366 0.637
0.955 0.095 0.910
0.045 0.905 0.090
0.590 0.817 0.181
0.410 0.183 0.819
```

Below is NdGe2Os after structural relaxation, with properties calculated at the PBE-GGA level.

Properties
Space group: C2/c
Mass density in kg/m3: 9711

Structure (POSCAR):
```
NdGe2Os
1.0
5.838 0.066 0.000
-2.706 5.255 0.000
-1.566 -2.660 5.317
Nd Os Ge
2 2 4
Direct
0.119 0.369 0.237
0.881 0.631 0.763
0.784 0.034 0.568
0.216 0.966 0.432
0.296 0.377 0.775
0.521 0.101 0.225
0.704 0.623 0.225
0.479 0.899 0.775
```

no.,DFT total energy (eV/atom)
1,-4.75
2,-4.74
3,-4.68
4,-7.48
5,-1.74
6,-5.63
7,-4.91
8,-7.85
9,-7.12
10,-2.68
11,-5.36
12,-6.80